Model A:
Compound: Co2Te2I
Source: the Alexandria database
Functional: PBE
Structure: relaxed

As for the total magnetic moment: 2.47 μB/f.u.

The space group is I4/mmm (No. 139) and the conventional cell measures 4.512, 4.512 and 12.863 Å, with angles of 90.00, 90.00 and 90.00 degrees. The asymmetric unit holds Co at (0.000, 0.000, 0.156), Te at (0.000, 0.500, 0.250) and I at (0.000, 0.000, 0.500).

Model B:
Compound: Co2Te2I
Source: the Alexandria database
Functional: PBE
Structure: relaxed

As for the total magnetic moment: 0.00 μB/f.u.

The space group is P4/mbm (No. 127) and the conventional cell measures 7.762, 7.762 and 3.484 Å, with angles of 90.00, 90.00 and 90.00 degrees. The asymmetric unit holds Co at (0.116, 0.384, 0.000), Te at (0.139, 0.639, 0.500) and I at (0.000, 0.000, 0.000).

Among the structures above, stability is smallest for model A.